# Tc2PBr, optimized geometry, DFT PBE
data_Tc2PBr
_space_group_name_H-M_alt 'P 1'
_space_group_IT_number 1
_cell_length_a 4.3429
_cell_length_b 4.3429
_cell_length_c 4.3429
_cell_angle_alpha 60.00
_cell_angle_beta 60.00
_cell_angle_gamma 60.00
loop_
_space_group_symop_operation_xyz
'x,y,z'
loop_
_atom_site_label
_atom_site_fract_x
_atom_site_fract_y
_atom_site_fract_z
_atom_site_occupancy
Br1 0.5000 0.5000 0.5000 1
Tc1 0.7500 0.7500 0.7500 1
P1 0.0000 0.0000 0.0000 1
Tc2 0.2500 0.2500 0.2500 1
# * DOS at the Fermi energy: 3.6 states/eV per cell
# * formation energy (no corrections): 0.4642 eV per atom
# * polymorph energy (0 for the lowest one): 0.527 eV per atom
# * space group: Fm-3m, No. 225

# K2AsRuPt, optimized geometry, DFT PBE
data_K2AsRuPt
_space_group_name_H-M_alt 'P 1'
_space_group_IT_number 1
_cell_length_a 6.3459
_cell_length_b 4.5495
_cell_length_c 6.3459
_cell_angle_alpha 90.00
_cell_angle_beta 90.00
_cell_angle_gamma 90.00
loop_
_space_group_symop_operation_xyz
'x,y,z'
loop_
_atom_site_label
_atom_site_fract_x
_atom_site_fract_y
_atom_site_fract_z
_atom_site_occupancy
Ru1 0.5000 0.5000 0.5000 1
As1 0.0000 0.5000 0.0000 1
K1 0.0000 0.0000 0.5000 1
K2 0.5000 0.0000 0.0000 1
Pt1 0.0000 0.0000 0.0000 1
# * formation energy from the elements: 385 kJ/mol of formula units
# * DOS at the Fermi energy: 6.9 states/eV per cell
# * space group: P4/mmm, No. 123

# MgV, optimized geometry, DFT PBE
data_MgV
_space_group_name_H-M_alt 'P 1'
_space_group_IT_number 1
_cell_length_a 3.2031
_cell_length_b 4.6625
_cell_length_c 9.2346
_cell_angle_alpha 90.00
_cell_angle_beta 90.00
_cell_angle_gamma 90.00
loop_
_space_group_symop_operation_xyz
'x,y,z'
loop_
_atom_site_label
_atom_site_fract_x
_atom_site_fract_y
_atom_site_fract_z
_atom_site_occupancy
V1 0.0000 0.2500 0.9048 1
V2 0.5000 0.7500 0.9048 1
Mg1 0.5000 0.2500 0.6458 1
Mg2 0.0000 0.7500 0.6458 1
V3 0.0000 0.7500 0.0952 1
Mg3 0.5000 0.7500 0.3542 1
V4 0.5000 0.2500 0.0952 1
Mg4 0.0000 0.2500 0.3542 1
# * formation energy from the elements: 38 kJ/mol of formula units
# * DOS at the Fermi energy: 9.9 states/eV per cell
# * space group: Cmme, No. 67

# Al2CrSe, optimized geometry, DFT PBE
data_Al2CrSe
_space_group_name_H-M_alt 'P 1'
_space_group_IT_number 1
_cell_length_a 7.3918
_cell_length_b 7.3918
_cell_length_c 5.9116
_cell_angle_alpha 51.30
_cell_angle_beta 51.30
_cell_angle_gamma 90.00
loop_
_space_group_symop_operation_xyz
'x,y,z'
loop_
_atom_site_label
_atom_site_fract_x
_atom_site_fract_y
_atom_site_fract_z
_atom_site_occupancy
Se1 0.7500 0.2500 0.5000 1
Se2 0.0000 0.0000 0.0000 1
Al1 0.8750 0.8883 0.7500 1
Al2 0.1117 0.6250 0.2500 1
Cr1 0.5000 0.5000 0.0000 1
Cr2 0.2500 0.7500 0.5000 1
Al3 0.3750 0.3617 0.7500 1
Al4 0.6383 0.1250 0.2500 1
# * DOS at the Fermi energy: 5.1 states/eV per cell
# * formation energy (no corrections): 0.1874 eV per atom
# * polymorph energy (0 for the lowest one): 0.218 eV per atom
# * space group: I-42d, No. 122

# Cd2MoPb, optimized geometry, DFT PBE
data_Cd2MoPb
_space_group_name_H-M_alt 'P 1'
_space_group_IT_number 1
_cell_length_a 2.9668
_cell_length_b 2.9668
_cell_length_c 11.0881
_cell_angle_alpha 90.00
_cell_angle_beta 90.00
_cell_angle_gamma 103.19
loop_
_space_group_symop_operation_xyz
'x,y,z'
loop_
_atom_site_label
_atom_site_fract_x
_atom_site_fract_y
_atom_site_fract_z
_atom_site_occupancy
Cd1 0.0000 0.0000 0.0368 1
Cd2 0.5000 0.5000 0.2838 1
Pb1 0.5000 0.5000 0.6963 1
Mo1 0.0000 0.0000 0.4832 1
# * formation energy from the elements: 171 kJ/mol of formula units
# * DOS at the Fermi energy: 1.7 states/eV per cell
# * space group: Cmm2, No. 35

# NbHPd, optimized geometry, DFT PBE
data_NbHPd
_space_group_name_H-M_alt 'P 1'
_space_group_IT_number 1
_cell_length_a 2.9272
_cell_length_b 7.2932
_cell_length_c 7.3001
_cell_angle_alpha 110.20
_cell_angle_beta 90.00
_cell_angle_gamma 90.00
loop_
_space_group_symop_operation_xyz
'x,y,z'
loop_
_atom_site_label
_atom_site_fract_x
_atom_site_fract_y
_atom_site_fract_z
_atom_site_occupancy
H1 0.2500 0.5753 0.9525 1
Pd1 0.2500 0.3226 0.4348 1
H2 0.2500 0.0753 0.4525 1
Pd2 0.7500 0.6774 0.5652 1
H3 0.7500 0.9247 0.5475 1
Nb1 0.2500 0.0639 0.7153 1
Pd3 0.7500 0.1774 0.0652 1
Nb2 0.7500 0.9361 0.2847 1
Nb3 0.7500 0.4361 0.7847 1
H4 0.7500 0.4247 0.0475 1
Pd4 0.2500 0.8226 0.9348 1
Nb4 0.2500 0.5639 0.2153 1
# * DOS at the Fermi energy: 6.0 states/eV per cell
# * polymorph energy (0 for the lowest one): 0.053 eV per atom
# * space group: P2_1/m, No. 11

# NdSm2DyAs4, optimized geometry, DFT PBE
data_NdSm2DyAs4
_space_group_name_H-M_alt 'P 1'
_space_group_IT_number 1
_cell_length_a 4.2092
_cell_length_b 7.2834
_cell_length_c 7.2834
_cell_angle_alpha 70.53
_cell_angle_beta 90.00
_cell_angle_gamma 90.00
loop_
_space_group_symop_operation_xyz
'x,y,z'
loop_
_atom_site_label
_atom_site_fract_x
_atom_site_fract_y
_atom_site_fract_z
_atom_site_occupancy
As1 0.5000 0.2528 0.7450 1
As2 0.0000 0.2497 0.2543 1
As3 0.0000 0.7503 0.7457 1
Dy1 0.0000 0.5000 0.5000 1
Sm1 0.0000 0.0000 0.0000 1
Sm2 0.5000 0.0000 0.5000 1
Nd1 0.5000 0.5000 0.0000 1
As4 0.5000 0.7472 0.2550 1
# * formation energy from the elements: -1174 kJ/mol of formula units
# * DOS at the Fermi energy: 0.7 states/eV per cell
# * space group: P2/m, No. 10

# PrSmCd3, optimized geometry, DFT PBE
data_PrSmCd3
_space_group_name_H-M_alt 'P 1'
_space_group_IT_number 1
_cell_length_a 3.5252
_cell_length_b 5.0608
_cell_length_c 15.2164
_cell_angle_alpha 90.00
_cell_angle_beta 96.65
_cell_angle_gamma 90.00
loop_
_space_group_symop_operation_xyz
'x,y,z'
loop_
_atom_site_label
_atom_site_fract_x
_atom_site_fract_y
_atom_site_fract_z
_atom_site_occupancy
Cd1 0.4762 0.2500 0.9524 1
Cd2 0.3788 0.2500 0.7575 1
Sm1 0.7862 0.2500 0.5723 1
Pr1 0.9258 0.7500 0.8515 1
Cd3 0.3249 0.7500 0.6499 1
Sm2 0.2138 0.7500 0.4277 1
Cd4 0.6212 0.7500 0.2425 1
Cd5 0.5238 0.7500 0.0476 1
Pr2 0.0742 0.2500 0.1485 1
Cd6 0.6751 0.2500 0.3501 1
# * formation energy from the elements: -150 kJ/mol of formula units
# * DOS at the Fermi energy: 9.1 states/eV per cell
# * space group: Cmcm, No. 63

# HfFe2HRh, optimized geometry, DFT PBE
data_HfFe2HRh
_space_group_name_H-M_alt 'P 1'
_space_group_IT_number 1
_cell_length_a 3.7839
_cell_length_b 3.7839
_cell_length_c 4.1220
_cell_angle_alpha 90.00
_cell_angle_beta 90.00
_cell_angle_gamma 90.00
loop_
_space_group_symop_operation_xyz
'x,y,z'
loop_
_atom_site_label
_atom_site_fract_x
_atom_site_fract_y
_atom_site_fract_z
_atom_site_occupancy
Fe1 0.0000 0.5000 0.0000 1
H1 0.0000 0.0000 0.0000 1
Hf1 0.5000 0.5000 0.5000 1
Rh1 0.0000 0.0000 0.5000 1
Fe2 0.5000 0.0000 0.0000 1
# * DOS at the Fermi energy: 4.1 states/eV per cell
# * E: -39.0 eV for the cell shown
# * space group: P4/mmm, No. 123

# BePAu, optimized geometry, DFT PBE
data_BePAu
_space_group_name_H-M_alt 'P 1'
_space_group_IT_number 1
_cell_length_a 6.2703
_cell_length_b 3.7848
_cell_length_c 4.3126
_cell_angle_alpha 106.20
_cell_angle_beta 90.01
_cell_angle_gamma 89.98
loop_
_space_group_symop_operation_xyz
'x,y,z'
loop_
_atom_site_label
_atom_site_fract_x
_atom_site_fract_y
_atom_site_fract_z
_atom_site_occupancy
Be1 0.8770 0.8058 0.1875 1
Au1 0.0495 0.9178 0.7093 1
P1 0.7373 0.2700 0.0469 1
Be2 0.3770 0.2305 0.0587 1
Au2 0.5495 0.1194 0.5373 1
P2 0.2373 0.7668 0.1998 1
# * formation energy from the elements: -38 kJ/mol of formula units
# * DOS at the Fermi energy: 0.6 states/eV per cell
# * space group: P2_1, No. 4

# Sb2WAu, optimized geometry, DFT PBE
data_Sb2WAu
_space_group_name_H-M_alt 'P 1'
_space_group_IT_number 1
_cell_length_a 3.0573
_cell_length_b 3.0573
_cell_length_c 9.8565
_cell_angle_alpha 90.00
_cell_angle_beta 90.00
_cell_angle_gamma 92.07
loop_
_space_group_symop_operation_xyz
'x,y,z'
loop_
_atom_site_label
_atom_site_fract_x
_atom_site_fract_y
_atom_site_fract_z
_atom_site_occupancy
Au1 0.5000 0.5000 0.7124 1
W1 0.0000 0.0000 0.5231 1
Sb1 0.5000 0.5000 0.3201 1
Sb2 0.0000 0.0000 0.9444 1
# * DOS at the Fermi energy: 4.3 states/eV per cell
# * formation energy (no corrections): 0.4515 eV per atom
# * polymorph energy (0 for the lowest one): 0.122 eV per atom
# * space group: Cmm2, No. 35

# MgNiRu2, optimized geometry, DFT PBE
data_MgNiRu2
_space_group_name_H-M_alt 'P 1'
_space_group_IT_number 1
_cell_length_a 7.2758
_cell_length_b 7.2758
_cell_length_c 5.6673
_cell_angle_alpha 50.07
_cell_angle_beta 50.07
_cell_angle_gamma 90.00
loop_
_space_group_symop_operation_xyz
'x,y,z'
loop_
_atom_site_label
_atom_site_fract_x
_atom_site_fract_y
_atom_site_fract_z
_atom_site_occupancy
Ru1 0.6845 0.1250 0.2500 1
Mg1 0.5000 0.5000 0.0000 1
Ru2 0.8750 0.9345 0.7500 1
Ru3 0.3750 0.3155 0.7500 1
Ni1 0.7500 0.2500 0.5000 1
Ru4 0.0655 0.6250 0.2500 1
Ni2 0.0000 0.0000 0.0000 1
Mg2 0.2500 0.7500 0.5000 1
# * formation energy from the elements: 203 kJ/mol of formula units
# * DOS at the Fermi energy: 6.4 states/eV per cell
# * space group: I-42d, No. 122

| no. | total magnetic moment (Bohr magnetons per cell) |
| --- | --- |
| 1 | 0.000 |
| 2 | 3.155 |
| 3 | 0.001 |
| 4 | 8.108 |
| 5 | 0.000 |
| 6 | 0.000 |
| 7 | 0.000 |
| 8 | 0.000 |
| 9 | 3.799 |
| 10 | 0.000 |
| 11 | 0.249 |
| 12 | 0.000 |